# 1
The following is a PBE-GGA calculation of crystalline ThCuCl at its relaxed geometry, from the Alexandria database.

```
ThCuCl
1.0
4.170 -0.020 -0.035
-2.071 3.619 0.035
-1.994 -1.249 10.572
Th Cu Cl
2 2 2
Direct
0.885 0.442 0.327
0.115 0.558 0.673
0.329 0.165 0.494
0.671 0.835 0.506
0.562 0.283 0.845
0.438 0.717 0.155
```

Output
The value obtained for the mass density is 6.92 g/cm3. Its density of states at the Fermi level is 4.46 states/eV/cell. As for the space group: No. 12. The formation energy without anion corrections is -942 meV/atom. The calculation puts the total energy at -32.378 eV for the cell shown.


# 2
The following is a PBE-GGA calculation of crystalline AgSnTeO5 at its relaxed geometry, from the Alexandria database.

```
AgSnTeO5
1.0
5.650 0.119 0.215
-1.536 5.439 0.215
-1.450 -1.959 7.088
Ag Sn Te O
2 2 2 10
Direct
0.340 0.660 0.250
0.660 0.340 0.750
0.000 0.000 0.500
0.000 0.000 0.000
0.653 0.347 0.250
0.347 0.653 0.750
0.087 0.913 0.250
0.913 0.087 0.750
0.921 0.338 0.127
0.079 0.662 0.873
0.662 0.079 0.373
0.338 0.921 0.627
0.792 0.624 0.474
0.208 0.376 0.526
0.376 0.208 0.026
0.624 0.792 0.974
```

Output
The value obtained for the mass density is 6.44 g/cm3. Its density of states at the Fermi level is 5.23 states/eV/cell. As for the space group: No. 15. The formation energy without anion corrections is -868 meV/atom. The calculation puts the total energy at -83.461 eV for the cell shown.


# 3
The following is a PBE-GGA calculation of crystalline BaMn2 at its relaxed geometry, from the Alexandria database.

```
BaMn2
1.0
1.890 3.685 0.044
-1.890 3.685 0.044
0.000 0.854 11.200
Ba Mn
2 4
Direct
0.159 0.159 0.313
0.841 0.841 0.687
0.506 0.506 0.892
0.826 0.826 0.008
0.494 0.494 0.108
0.174 0.174 0.992
```

Output
The value obtained for the energy relative to the elements is 1.4 eV/f.u. The value obtained for the mass density is 5.27 g/cm3. Its density of states at the Fermi level is 7.93 states/eV/cell. As for the space group: No. 12. The calculation puts the total energy at -37.655 eV for the cell shown.


# 4
The following is a PBE-GGA calculation of crystalline Sc7HPb4 at its relaxed geometry, from the Alexandria database.

```
Sc7HPb4
1.0
-2.853 -2.932 2.532
-0.217 -7.346 -4.181
4.822 -4.790 4.457
Sc H Pb
7 1 4
Direct
0.789 0.859 0.562
0.211 0.141 0.438
0.069 0.741 0.121
0.931 0.259 0.879
0.363 0.555 0.719
0.500 0.000 0.000
0.637 0.445 0.281
0.000 0.000 0.000
0.578 0.211 0.632
0.422 0.789 0.368
0.721 0.656 0.902
0.279 0.344 0.098
```

Output
The value obtained for the mass density is 6.35 g/cm3. Its density of states at the Fermi level is 10.04 states/eV/cell. As for the space group: No. 12. The calculation puts the total energy at -65.236 eV for the cell shown.